# 1
# PBE-GGA NbBiN3, relaxed
# - Size of the total moment: 0.00 μB/f.u.
# - Density: 8.0 Mg/m³
# - Final energy: -0.215 Ha/atom
data_NbBiN3
_chemical_formula_sum 'Nb1 Bi1 N3'
_symmetry_space_group_name_H-M 'P m -3 m'
_symmetry_Int_Tables_number 221
_symmetry_space_group_name_Hall '-P 4 2 3'
_cell_length_a 4.155
_cell_length_b 4.155
_cell_length_c 4.155
_cell_angle_alpha 90.00
_cell_angle_beta 90.00
_cell_angle_gamma 90.00
loop_
_atom_site_label
_atom_site_fract_x
_atom_site_fract_y
_atom_site_fract_z
_atom_site_occupancy
Nb1 0.000 0.000 0.000 1
Bi1 0.500 0.500 0.500 1
N1 0.000 0.500 0.500 1


# 2
# PBE-GGA NbBiN2, relaxed
# - Size of the total moment: 0.00 μB/f.u.
# - Density: 8.0 Mg/m³
# - Final energy: -0.258 Ha/atom
data_NbBiN2
_chemical_formula_sum 'Nb3 Bi3 N6'
_symmetry_space_group_name_H-M 'R -3 m'
_symmetry_Int_Tables_number 166
_symmetry_space_group_name_Hall '-R 3 2"'
_cell_length_a 3.4603
_cell_length_b 3.4603
_cell_length_c 19.9281
_cell_angle_alpha 90.00
_cell_angle_beta 90.00
_cell_angle_gamma 120.00
loop_
_atom_site_label
_atom_site_fract_x
_atom_site_fract_y
_atom_site_fract_z
_atom_site_occupancy
Nb1 0.0000 0.0000 0.0000 1
Bi1 0.0000 0.0000 0.5000 1
N1 0.0000 0.0000 0.0993 1


# 3
# PBE-GGA NbBi3N, relaxed
# - Size of the total moment: 2.08 μB/f.u.
# - Density: 7.3 Mg/m³
# - Final energy: -0.172 Ha/atom
# - Excess energy over the best structure of this formula in the dataset: 520.4 meV/atom
data_NbBi3N
_chemical_formula_sum 'Nb1 Bi3 N1'
_symmetry_space_group_name_H-M 'P m -3 m'
_symmetry_Int_Tables_number 221
_symmetry_space_group_name_Hall '-P 4 2 3'
_cell_length_a 5.497
_cell_length_b 5.497
_cell_length_c 5.497
_cell_angle_alpha 90.00
_cell_angle_beta 90.00
_cell_angle_gamma 90.00
loop_
_atom_site_label
_atom_site_fract_x
_atom_site_fract_y
_atom_site_fract_z
_atom_site_occupancy
Nb1 0.000 0.000 0.000 1
Bi1 0.000 0.000 0.500 1
N1 0.500 0.500 0.500 1


# 4
# PBE-GGA NbBi2N, relaxed
# - Size of the total moment: 1.07 μB/f.u.
# - Density: 9.5 Mg/m³
# - Final energy: -0.202 Ha/atom
data_NbBi2N
_chemical_formula_sum 'Nb4 Bi8 N4'
_symmetry_space_group_name_H-M 'I -4 2 d'
_symmetry_Int_Tables_number 122
_symmetry_space_group_name_Hall 'I -4 2bw'
_cell_length_a 6.689
_cell_length_b 6.689
_cell_length_c 8.160
_cell_angle_alpha 90.00
_cell_angle_beta 90.00
_cell_angle_gamma 90.00
loop_
_atom_site_label
_atom_site_fract_x
_atom_site_fract_y
_atom_site_fract_z
_atom_site_occupancy
Nb1 0.000 0.000 0.000 1
Bi1 0.183 0.250 0.625 1
N1 0.000 0.000 0.500 1


# 5
# PBE-GGA Nb2BiN, relaxed
# - Size of the total moment: 0.00 μB/f.u.
# - Density: 10.0 Mg/m³
# - Final energy: -0.266 Ha/atom
# - Excess energy over the best structure of this formula in the dataset: 827.1 meV/atom
data_Nb2BiN
_chemical_formula_sum 'Nb8 Bi4 N4'
_symmetry_space_group_name_H-M 'F m -3 m'
_symmetry_Int_Tables_number 225
_symmetry_space_group_name_Hall '-F 4 2 3'
_cell_length_a 6.478
_cell_length_b 6.478
_cell_length_c 6.478
_cell_angle_alpha 90.00
_cell_angle_beta 90.00
_cell_angle_gamma 90.00
loop_
_atom_site_label
_atom_site_fract_x
_atom_site_fract_y
_atom_site_fract_z
_atom_site_occupancy
Nb1 0.250 0.250 0.250 1
Bi1 0.000 0.000 0.000 1
N1 0.000 0.000 0.500 1


# 6
# PBE-GGA NbBiNO2, relaxed
# - Size of the total moment: 0.00 μB/f.u.
# - Density: 8.4 Mg/m³
# - Final energy: -0.276 Ha/atom
data_NbBiNO2
_chemical_formula_sum 'Nb1 Bi1 N1 O2'
_symmetry_space_group_name_H-M 'P 4/m m m'
_symmetry_Int_Tables_number 123
_symmetry_space_group_name_Hall '-P 4 2'
_cell_length_a 4.046
_cell_length_b 4.046
_cell_length_c 4.219
_cell_angle_alpha 90.00
_cell_angle_beta 90.00
_cell_angle_gamma 90.00
loop_
_atom_site_label
_atom_site_fract_x
_atom_site_fract_y
_atom_site_fract_z
_atom_site_occupancy
Nb1 0.000 0.000 0.000 1
Bi1 0.500 0.500 0.500 1
N1 0.000 0.000 0.500 1
O1 0.000 0.500 0.000 1